[1]
LiLaSiNi after structural relaxation, computed with PBE-GGA.

Calculated values
The value obtained for the total magnetization is 0.00 μB/f.u. The volume is 289.9 Å³ per cell. The total DFT energy (no corrections) is -4.67 eV/atom.

abc: 6.6180 6.6180 6.6180
angles: 90.00 90.00 90.00
Closest atoms and distances in Å follow each position.
Space group F-43m (No. 216)
Asymmetric unit:
1 Li 0.0000 0.0000 0.0000 [4 per cell]  4 Ni 2.87, 4 La 2.87
2 La 0.2500 0.2500 0.7500 [4 per cell]  4 Li 2.87, 4 Si 2.87
3 Si 0.0000 0.0000 0.5000 [4 per cell]  4 La 2.87, 4 Ni 2.87
4 Ni 0.2500 0.2500 0.2500 [4 per cell]  4 Si 2.87, 4 Li 2.87

***

[2]
LiLaSiNi after structural relaxation, computed with PBE-GGA.

Calculated values
The value obtained for the total magnetization is 0.00 μB/f.u. The volume is 271.1 Å³ per cell. The total DFT energy (no corrections) is -4.87 eV/atom.

abc: 6.4723 6.4723 6.4723
angles: 90.00 90.00 90.00
Closest atoms and distances in Å follow each position.
Space group F-43m (No. 216)
Asymmetric unit:
1 Li 0.0000 0.0000 0.0000 [4 per cell]  4 Si 2.80, 4 La 2.80
2 La 0.2500 0.2500 0.2500 [4 per cell]  4 Li 2.80, 4 Ni 2.80
3 Si 0.2500 0.2500 0.7500 [4 per cell]  4 Li 2.80, 4 Ni 2.80
4 Ni 0.0000 0.0000 0.5000 [4 per cell]  4 La 2.80, 4 Si 2.80

***

[3]
LiLaZrNi after structural relaxation, computed with PBE-GGA.

Calculated values
The value obtained for the total magnetization is 0.00 μB/f.u. The volume is 294.4 Å³ per cell. The total DFT energy (no corrections) is -4.94 eV/atom.

abc: 6.6523 6.6523 6.6523
angles: 90.00 90.00 90.00
Closest atoms and distances in Å follow each position.
Space group F-43m (No. 216)
Asymmetric unit:
1 Li 0.0000 0.0000 0.0000 [4 per cell]  4 Zr 2.88, 4 Ni 2.88
2 La 0.0000 0.0000 0.5000 [4 per cell]  4 Zr 2.88, 4 Ni 2.88
3 Zr 0.2500 0.2500 0.7500 [4 per cell]  4 La 2.88, 4 Li 2.88
4 Ni 0.2500 0.2500 0.2500 [4 per cell]  4 La 2.88, 4 Li 2.88

***

[4]
LiLaZrNi after structural relaxation, computed with PBE-GGA.

Calculated values
The value obtained for the total magnetization is 1.19 μB/f.u. The volume is 334.8 Å³ per cell. The total DFT energy (no corrections) is -5.13 eV/atom.

abc: 6.9440 6.9440 6.9440
angles: 90.00 90.00 90.00
Closest atoms and distances in Å follow each position.
Space group F-43m (No. 216)
Asymmetric unit:
1 Li 0.0000 0.0000 0.0000 [4 per cell]  4 La 3.01, 4 Zr 3.01
2 La 0.2500 0.2500 0.2500 [4 per cell]  4 Li 3.01, 4 Ni 3.01
3 Zr 0.2500 0.2500 0.7500 [4 per cell]  4 Li 3.01, 4 Ni 3.01
4 Ni 0.0000 0.0000 0.5000 [4 per cell]  4 Zr 3.01, 4 La 3.01

***

[5]
LiLaZrNi after structural relaxation, computed with PBE-GGA.

Calculated values
The value obtained for the total magnetization is 0.00 μB/f.u. The volume is 298.1 Å³ per cell. The total DFT energy (no corrections) is -5.06 eV/atom.

abc: 6.6799 6.6799 6.6799
angles: 90.00 90.00 90.00
Closest atoms and distances in Å follow each position.
Space group F-43m (No. 216)
Asymmetric unit:
1 Li 0.0000 0.0000 0.0000 [4 per cell]  4 La 2.89, 4 Ni 2.89
2 La 0.2500 0.2500 0.7500 [4 per cell]  4 Zr 2.89, 4 Li 2.89
3 Zr 0.0000 0.0000 0.5000 [4 per cell]  4 La 2.89, 4 Ni 2.89
4 Ni 0.2500 0.2500 0.2500 [4 per cell]  4 Zr 2.89, 4 Li 2.89

***

[6]
LiLa2OsO6 after structural relaxation, computed with PBE-GGA.

Calculated values
The value obtained for the total magnetization is 3.00 μB/f.u. The volume is 246.4 Å³ per cell. The total DFT energy (no corrections) is -7.73 eV/atom.

abc: 5.5442 5.6669 9.5904
angles: 90.00 125.12 90.00
Closest atoms and distances in Å follow each position.
Space group P2_1/c (No. 14)
Asymmetric unit:
1 Li 0.0000 0.0000 0.0000 [2 per cell]  6 O 2.07-2.11
2 La 0.2389 0.0501 0.7488 [4 per cell]  6 O 2.39-2.65
3 Os 0.5000 0.0000 0.5000 [2 per cell]  6 O 1.98
4 O 0.1692 0.1983 0.4562 [4 per cell]  1 Os 1.98, 1 Li 2.11
5 O 0.2586 0.7142 0.4540 [4 per cell]  1 Os 1.98, 1 Li 2.11
6 O 0.3409 0.0221 0.2558 [4 per cell]  1 Os 1.98, 1 Li 2.07

***

[7]
Li2LaPrSe2O2 after structural relaxation, computed with PBE-GGA.

Calculated values
The value obtained for the total magnetization is 0.00 μB/f.u. The volume is 149.1 Å³ per cell. The total DFT energy (no corrections) is -6.20 eV/atom.

abc: 4.0725 4.0725 8.9889
angles: 90.00 90.00 90.00
Closest atoms and distances in Å follow each position.
Space group P4mm (No. 99)
Asymmetric unit:
1 Li 0.0000 0.5000 0.0000 [2 per cell]  4 Se 2.54-2.55
2 La 0.0000 0.0000 0.6343 [1 per cell]  4 O 2.37
3 Pr 0.5000 0.5000 0.3661 [1 per cell]  4 O 2.36
4 Se 0.0000 0.0000 0.1703 [1 per cell]  4 Li 2.55
5 Se 0.5000 0.5000 0.8303 [1 per cell]  4 Li 2.54
6 O 0.0000 0.5000 0.4998 [2 per cell]  2 Pr 2.36, 2 La 2.37

***

[8]
Li2LaPrTe2O2 after structural relaxation, computed with PBE-GGA.

Calculated values
The value obtained for the total magnetization is 0.00 μB/f.u. The volume is 169.0 Å³ per cell. The total DFT energy (no corrections) is -5.94 eV/atom.

abc: 4.1968 4.1968 9.5922
angles: 90.00 90.00 90.00
Closest atoms and distances in Å follow each position.
Space group P4mm (No. 99)
Asymmetric unit:
1 Li 0.0000 0.5000 0.0000 [2 per cell]  4 Te 2.72-2.73, 4 Li 2.97
2 La 0.0000 0.0000 0.6192 [1 per cell]  4 O 2.39
3 Pr 0.5000 0.5000 0.3795 [1 per cell]  4 O 2.39
4 Te 0.0000 0.0000 0.1828 [1 per cell]  4 Li 2.73
5 Te 0.5000 0.5000 0.8193 [1 per cell]  4 Li 2.72
6 O 0.0000 0.5000 0.4992 [2 per cell]  2 Pr 2.39, 2 La 2.39

***

> Which of these has the lowest total DFT energy (no corrections)?

LiLa2OsO6